# 1
A relaxed structure of PuTlNiCl6, computed with PBE-GGA.

Cell lengths 6.7129, 6.7129, 14.1594 Å; angles 90.00, 90.00, 120.00 degrees
With the nearest neighbours (Å) after each atom.
Space group P-31c (No. 163)
Asymmetric unit:
1 Pu 0.3333 0.6667 0.2500 [2 per cell]  6 Cl 2.70
2 Tl 0.0000 0.0000 0.0000 [2 per cell]  6 Cl 3.25
3 Ni 0.3333 0.6667 0.7500 [2 per cell]  6 Cl 2.44
4 Cl 0.0292 0.3810 0.6490 [12 per cell]  1 Ni 2.44, 1 Pu 2.70

**Formation energy (no corrections)**: -1263 meV per atom
**DOS(E_F)**: 19.30 states/eV per cell
**E**: -89.9 eV/cell
**Calculated volume**: 30.7 A^3/atom

# 2
A relaxed structure of RbNiCl, computed with PBE-GGA.

Cell lengths 15.1804, 5.1439, 4.6250 Å; angles 90.00, 100.88, 90.00 degrees
With the nearest neighbours (Å) after each atom.
Space group Cm (No. 8)
Asymmetric unit:
1 Rb 0.0000 0.0000 0.0000 [2 per cell]  4 Ni 3.36-3.62, 4 Cl 3.48-3.60
2 Rb 0.2319 0.5000 0.0838 [2 per cell]  2 Ni 3.29, 4 Cl 3.32-3.67
3 Ni 0.3567 0.0000 0.9740 [2 per cell]  1 Cl 2.15, 1 Ni 2.32
4 Ni 0.4072 0.0000 0.4797 [2 per cell]  2 Cl 2.12-2.16, 1 Ni 2.32
5 Cl 0.0510 0.5000 0.5108 [2 per cell]  1 Ni 2.16
6 Cl 0.2726 0.0000 0.5441 [2 per cell]  2 Ni 2.12-2.15

**Formation energy (no corrections)**: -535 meV per atom
**DOS(E_F)**: 0.00 states/eV per cell
**E**: -40.8 eV/cell
**Calculated volume**: 29.6 A^3/atom

# 3
A relaxed structure of RbNiCl, computed with PBE-GGA.

Cell lengths 7.2933, 7.2933, 7.2933 Å; angles 90.00, 90.00, 90.00 degrees
With the nearest neighbours (Å) after each atom.
Space group F-43m (No. 216)
Asymmetric unit:
1 Rb 0.0000 0.0000 0.0000 [4 per cell]  4 Cl 3.16
2 Ni 0.0000 0.0000 0.5000 [4 per cell]  4 Cl 3.16
3 Cl 0.2500 0.2500 0.2500 [4 per cell]  4 Ni 3.16, 4 Rb 3.16

**Formation energy (no corrections)**: 226 meV per atom
**DOS(E_F)**: 71.34 states/eV per cell
**E**: -31.7 eV/cell
**Calculated volume**: 32.3 A^3/atom

# 4
A relaxed structure of RbNiCl, computed with PBE-GGA.

Cell lengths 12.1115, 3.6534, 8.3487 Å; angles 90.00, 95.04, 90.00 degrees
With the nearest neighbours (Å) after each atom.
Space group Cm (No. 8)
Asymmetric unit:
1 Rb 0.0000 0.0000 0.0000 [2 per cell]  6 Ni 3.25-3.46, 3 Cl 3.34-3.37
2 Rb 0.2097 0.5000 0.4282 [2 per cell]  5 Cl 3.25-3.52, 2 Ni 3.41
3 Ni 0.2314 0.5000 0.9412 [2 per cell]  2 Ni 2.35, 2 Cl 2.44
4 Ni 0.2821 0.0000 0.1086 [2 per cell]  1 Cl 2.29, 2 Ni 2.35
5 Cl 0.1999 0.0000 0.7492 [2 per cell]  2 Ni 2.44
6 Cl 0.4231 0.0000 0.3101 [2 per cell]  1 Ni 2.29

**Formation energy (no corrections)**: -488 meV per atom
**DOS(E_F)**: 8.98 states/eV per cell
**E**: -40.2 eV/cell
**Calculated volume**: 30.7 A^3/atom

> Which value of calculated volume does entry 2 give?

29.6 A^3/atom